The following is a PBE calculation of a relaxed Tb3Fe crystal, from the Open Quantum Materials Database.

Calculated values
* formation energy from the elements: 0.320 eV/atom
* magnetic moment: 2.2 μB per cell

Lattice parameters (Å, degrees): 4.6858 4.6858 4.6858 90.00 90.00 90.00
Last column: nearest neighbours and their distance in Å.
Element x y z (fractional)
1 Tb 0.0000 0.5000 0.5000  8 Tb 3.31, 4 Fe 3.31
2 Tb 0.5000 0.5000 0.0000  8 Tb 3.31, 4 Fe 3.31
3 Fe 0.0000 0.0000 0.0000  12 Tb 3.31
4 Tb 0.5000 0.0000 0.5000  8 Tb 3.31, 4 Fe 3.31

=====

The following is a PBE calculation of a relaxed CdCl2 crystal, from the Open Quantum Materials Database.

Calculated values
* total energy: -2.398 eV per atom

Lattice parameters (Å, degrees): 4.6270 4.6270 4.6270 60.00 60.00 60.00
Last column: nearest neighbours and their distance in Å.
Element x y z (fractional)
1 Cl 0.7500 0.7500 0.7500  4 Cd 2.83
2 Cl 0.2500 0.2500 0.2500  4 Cd 2.83
3 Cd 0.0000 0.0000 0.0000  8 Cl 2.83

=====

The following is a PBE calculation of a relaxed Y2Ta4S3N3 crystal, from the Open Quantum Materials Database.

Calculated values
* total energy: -9.218 eV per atom
* magnetic moment: 0.0 μB per cell

Lattice parameters (Å, degrees): 5.8458 5.8458 12.2558 103.39 103.39 60.62
Last column: nearest neighbours and their distance in Å.
Element x y z (fractional)
1 Y 0.6295 0.4646 0.3898  3 N 2.33-2.35
2 S 0.4229 0.2076 0.7505  4 Ta 2.67-2.70, 2 Y 2.73-2.74
3 S 0.7924 0.5771 0.7495  4 Ta 2.67-2.70, 2 Y 2.73-2.74
4 Ta 0.1874 0.0390 0.0871  3 N 2.19-2.24
5 Ta 0.1328 0.2984 0.9131  3 N 2.17-2.25
6 S 0.0494 0.9506 0.7500  4 Ta 2.65, 2 Y 2.73
7 S 0.5771 0.7924 0.2495  4 Ta 2.67-2.70, 2 Y 2.73-2.74
8 Y 0.4646 0.6295 0.8898  3 N 2.33-2.35
9 Ta 0.8672 0.7016 0.0869  3 N 2.17-2.25
10 Ta 0.8126 0.9610 0.9129  3 N 2.19-2.24
11 N 0.8295 0.3360 0.0000  4 Ta 2.17-2.25, 2 Y 2.33-2.34
12 Ta 0.2984 0.1328 0.4131  3 N 2.17-2.25
13 N 0.3360 0.8295 0.5000  4 Ta 2.17-2.25, 2 Y 2.33-2.34
14 N 0.6640 0.1705 0.5000  4 Ta 2.17-2.25, 2 Y 2.33-2.34
15 Ta 0.9610 0.8126 0.4129  3 N 2.19-2.24
16 S 0.2076 0.4229 0.2505  4 Ta 2.67-2.70, 2 Y 2.73-2.74
17 Ta 0.7016 0.8672 0.5869  3 N 2.17-2.25
18 N 0.1705 0.6640 0.0000  4 Ta 2.17-2.25, 2 Y 2.33-2.34
19 N 0.0000 0.5000 0.5000  4 Ta 2.22, 2 Y 2.35
20 Ta 0.0390 0.1874 0.5871  3 N 2.19-2.24
21 Y 0.5354 0.3705 0.1102  3 N 2.33-2.35
22 Y 0.3705 0.5354 0.6102  3 N 2.33-2.35
23 N 0.5000 0.0000 0.0000  4 Ta 2.22, 2 Y 2.35
24 S 0.9506 0.0494 0.2500  4 Ta 2.65, 2 Y 2.73

=====

The following is a PBE calculation of a relaxed CsGdNiTe3 crystal, from the Open Quantum Materials Database.

Calculated values
* magnetic moment: 0.5 μB per cell
* energy above the lowest structure with this stoichiometry: 161 meV per atom

Lattice parameters (Å, degrees): 8.8948 8.8948 10.5661 90.87 90.87 29.65
Last column: nearest neighbours and their distance in Å.
Element x y z (fractional)
1 Te 0.6112 0.6112 0.7788  1 Ni 2.56
2 Te 0.6611 0.6611 0.3792  1 Ni 2.69
3 Te 0.5000 0.5000 0.0000  2 Te 3.04
4 Ni 0.5047 0.5047 0.3765  4 Te 2.56-2.69, 1 Ni 2.62
5 Ni 0.4953 0.4953 0.6235  4 Te 2.56-2.69, 1 Ni 2.62
6 Gd 0.1618 0.1618 0.5916  6 Te 2.93-3.20
7 Te 0.3888 0.3888 0.2212  1 Ni 2.56
8 Te 0.3389 0.3389 0.6208  1 Ni 2.69
9 Te 0.0000 0.0000 0.5000  4 Ni 2.63, 2 Gd 2.93
10 Gd 0.8382 0.8382 0.4084  6 Te 2.93-3.20
11 Cs 0.1546 0.1546 0.0943  4 Te 3.63-3.77
12 Cs 0.8454 0.8454 0.9057  4 Te 3.63-3.77